1.
La8PmIr6 | Alexandria via LeMat-Bulk | PBE | optimized geometry; E = -106.877 eV for the cell shown; formation energy = -921 kJ/mol of formula units; D(E_F) = 10.628 states/eV per cell
1.0
-1.9416 7.5742 1.9532
0.5053 1.8250 7.8337
6.1619 4.7570 2.0867
La Pm Ir
8 1 6
Direct
0.2186 0.5598 0.8853 La
0.1147 0.7814 0.4402 La
0.4402 0.1147 0.7814 La
0.6679 0.6679 0.6679 La
0.3321 0.3321 0.3321 La
0.5598 0.8853 0.2186 La
0.8853 0.2186 0.5598 La
0.7814 0.4402 0.1147 La
0.0000 0.0000 0.0000 Pm
0.0583 0.3914 0.7268 Ir
0.2732 0.9417 0.6086 Ir
0.6086 0.2732 0.9417 Ir
0.3914 0.7268 0.0583 Ir
0.7268 0.0583 0.3914 Ir
0.9417 0.6086 0.2732 Ir

2.
La3Pm4Ir4 | Alexandria via LeMat-Bulk | PBE | optimized geometry; E = -75.154 eV for the cell shown; formation energy = -572 kJ/mol of formula units; D(E_F) = 8.932 states/eV per cell
1.0
-3.7032 1.6917 1.9798
0.2337 -5.9592 5.5290
6.2870 6.6400 0.9100
La Pm Ir
3 4 4
Direct
0.0977 0.0977 0.1955 La
0.9023 0.9023 0.8045 La
0.0000 0.5000 0.0000 La
0.3308 0.1219 0.6615 Pm
0.6692 0.4603 0.3385 Pm
0.6692 0.8781 0.3385 Pm
0.3308 0.5397 0.6615 Pm
0.2112 0.7112 0.4224 Ir
0.7888 0.2888 0.5776 Ir
0.5000 0.8146 0.0000 Ir
0.5000 0.1854 0.0000 Ir

3.
LaPm5Ir3 | Alexandria via LeMat-Bulk | PBE | optimized geometry; E = -120.203 eV for the cell shown; formation energy = -467 kJ/mol of formula units; D(E_F) = 12.193 states/eV per cell
1.0
-6.4588 -4.4939 1.1970
-0.2576 -5.2889 -5.9417
3.0122 -9.2645 3.6484
La Pm Ir
2 10 6
Direct
0.1014 0.1014 0.7017 La
0.8986 0.8986 0.2983 La
0.9690 0.3647 0.3313 Pm
0.3043 0.6957 0.0000 Pm
0.7671 0.7671 0.0340 Pm
0.4342 0.4342 0.3687 Pm
0.5658 0.5658 0.6313 Pm
0.2329 0.2329 0.9660 Pm
0.3647 0.9690 0.3313 Pm
0.6957 0.3043 0.0000 Pm
0.0310 0.6353 0.6687 Pm
0.6353 0.0310 0.6687 Pm
0.6667 0.6667 0.8327 Ir
0.6670 0.6670 0.3322 Ir
0.0000 0.0000 0.0000 Ir
0.0000 0.0000 0.5000 Ir
0.3333 0.3333 0.1673 Ir
0.3330 0.3330 0.6678 Ir

4.
LaPm12Ir7 | Alexandria via LeMat-Bulk | PBE | optimized geometry; E = -133.969 eV for the cell shown; formation energy = -966 kJ/mol of formula units; D(E_F) = 15.250 states/eV per cell
1.0
9.6941 0.0000 2.8051
-4.4091 7.3389 3.1351
0.8759 0.0000 9.0753
La Pm Ir
1 12 7
Direct
0.0000 0.0000 0.0000 La
0.7829 0.4743 0.1428 Pm
0.0743 0.8572 0.6170 Pm
0.3755 0.2149 0.0814 Pm
0.5431 0.9186 0.2963 Pm
0.6913 0.6170 0.5257 Pm
0.8394 0.2963 0.7851 Pm
0.1606 0.7037 0.2149 Pm
0.3087 0.3830 0.4743 Pm
0.4569 0.0814 0.7037 Pm
0.6245 0.7851 0.9186 Pm
0.9257 0.1428 0.3830 Pm
0.2171 0.5257 0.8572 Pm
0.8742 0.2321 0.0907 Ir
0.0351 0.9093 0.3229 Ir
0.3579 0.3229 0.7679 Ir
0.5000 0.0000 0.0000 Ir
0.6421 0.6771 0.2321 Ir
0.9649 0.0907 0.6771 Ir
0.1258 0.7679 0.9093 Ir

5.
La3PmIr | Alexandria via LeMat-Bulk | PBE | optimized geometry; E = -29.530 eV for the cell shown; formation energy = -110 kJ/mol of formula units; D(E_F) = 9.532 states/eV per cell
1.0
5.6916 0.0000 0.0000
0.0000 5.6916 0.0000
0.0000 0.0000 5.6916
Ir La Pm
1 3 1
Direct
0.0000 0.0000 0.0000 Ir
0.0000 0.5000 0.0000 La
0.0000 0.0000 0.5000 La
0.5000 0.0000 0.0000 La
0.5000 0.5000 0.5000 Pm

6.
La5PmIr4 | Alexandria via LeMat-Bulk | PBE | optimized geometry; E = -71.049 eV for the cell shown; formation energy = -600 kJ/mol of formula units; D(E_F) = 5.681 states/eV per cell
1.0
4.6702 0.0000 -1.4824
-0.0372 7.1551 -0.1173
0.0021 0.0540 8.1042
La Pm Ir
5 1 4
Direct
0.1652 0.0042 0.3304 La
0.1656 0.5055 0.3312 La
0.8344 0.4945 0.6688 La
0.5000 0.5000 0.0000 La
0.8348 0.9958 0.6696 La
0.5000 0.0000 0.0000 Pm
0.6665 0.7511 0.3329 Ir
0.0136 0.2485 0.0272 Ir
0.3335 0.2489 0.6671 Ir
0.9864 0.7515 0.9728 Ir

Question: Look up the E of the third one.
Answer: -120.203 eV for the cell shown